GePt3S after structural relaxation, computed with PBE-GGA.

Calculated values
Spin magnetization   0.0 μB/cell
Final energy   -25.2 eV for the cell shown
Uncorrected formation energy   336.6 meV/atom
Offset from the most stable computed form   0 meV/atom

Cell: 4.5568 4.5568 4.5568 Å, 90.00 90.00 90.00°
With the nearest neighbours (Å) after each atom.
Element x y z (fractional)
1 Ge 0.5000 0.5000 0.5000  12 Pt 3.22
2 Pt 0.0000 0.5000 0.0000  2 S 2.28
3 Pt 0.0000 0.0000 0.5000  2 S 2.28
4 Pt 0.5000 0.0000 0.0000  2 S 2.28
5 S 0.0000 0.0000 0.0000  6 Pt 2.28